1.
Te2IrPt | GGA-PBEsol | optimized geometry

Unit cell a=6.839 b=3.946 c=6.992 alpha=90.00 beta=109.14 gamma=90.00
Space group Cm (No. 8)
Asymmetric unit:
Te1 0.000 0.000 0.000 [2 per cell]
Te2 0.196 0.000 0.582 [2 per cell]
Ir1 0.227 0.500 0.180 [2 per cell]
Pt1 0.467 0.000 0.400 [2 per cell]

Values from the calculation:
**V**: 178.3 Å³/cell
**Formation energy (no corrections)**: -111 meV per atom
**Excess energy over the best structure of this formula in the dataset**: 0 meV/atom

***

2.
TcAs3S | GGA-PBEsol | optimized geometry

Unit cell a=4.586 b=4.586 c=4.586 alpha=90.00 beta=90.00 gamma=90.00
Space group Pm-3m (No. 221)
Asymmetric unit:
Tc1 0.000 0.000 0.000 [1 per cell]
As1 0.000 0.500 0.500 [3 per cell]
S1 0.500 0.500 0.500 [1 per cell]

Values from the calculation:
**V**: 96.4 Å³/cell
**Formation energy (no corrections)**: 1148 meV per atom

***

3.
RbAs2PdBr | GGA-PBEsol | optimized geometry

Unit cell a=4.675 b=4.675 c=7.192 alpha=90.00 beta=90.00 gamma=90.00
Space group P4/mmm (No. 123)
Asymmetric unit:
Rb1 0.000 0.000 0.000 [1 per cell]
As1 0.000 0.500 0.500 [2 per cell]
Pd1 0.500 0.500 0.500 [1 per cell]
Br1 0.500 0.500 0.000 [1 per cell]

Values from the calculation:
**V**: 157.2 Å³/cell
**Formation energy (no corrections)**: -151 meV per atom

***

4.
Tm2Re3Si5 | GGA-PBEsol | optimized geometry

Unit cell a=10.878 b=10.878 c=5.408 alpha=90.00 beta=90.00 gamma=90.00
Space group P4/mnc (No. 128)
Asymmetric unit:
Tm1 0.078 0.237 0.000 [8 per cell]
Re1 0.000 0.500 0.250 [4 per cell]
Re2 0.123 0.853 0.500 [8 per cell]
Si1 0.000 0.000 0.237 [4 per cell]
Si2 0.030 0.313 0.500 [8 per cell]
Si3 0.172 0.672 0.250 [8 per cell]

Values from the calculation:
**V**: 640.0 Å³/cell
**Formation energy (no corrections)**: -645 meV per atom

***

5.
SiAgPt3 | GGA-PBEsol | optimized geometry

Unit cell a=4.772 b=4.772 c=4.772 alpha=90.00 beta=90.00 gamma=90.00
Space group Pm-3m (No. 221)
Asymmetric unit:
Si1 0.000 0.000 0.000 [1 per cell]
Ag1 0.500 0.500 0.500 [1 per cell]
Pt1 0.000 0.500 0.500 [3 per cell]

Values from the calculation:
**V**: 108.7 Å³/cell
**Formation energy (no corrections)**: 1736 meV per atom

***

6.
Ce3Al2I2 | GGA-PBEsol | optimized geometry

Unit cell a=19.251 b=4.165 c=11.600 alpha=90.00 beta=122.28 gamma=90.00
Space group C2/m (No. 12)
Asymmetric unit:
Ce1 0.032 0.000 0.195 [4 per cell]
Ce2 0.195 0.500 0.929 [4 per cell]
Ce3 0.249 0.000 0.676 [4 per cell]
Al1 0.074 0.500 0.035 [4 per cell]
Al2 0.161 0.000 0.103 [4 per cell]
I1 0.086 0.000 0.689 [4 per cell]
I2 0.132 0.500 0.439 [4 per cell]

Values from the calculation:
**V**: 786.4 Å³/cell
**Formation energy (no corrections)**: -638 meV per atom

***

7.
In2FeMo | GGA-PBEsol | optimized geometry

Unit cell a=3.621 b=4.371 c=8.421 alpha=90.00 beta=90.00 gamma=90.00
Space group Cmmm (No. 65)
Asymmetric unit:
In1 0.000 0.000 0.235 [4 per cell]
Fe1 0.000 0.500 0.000 [2 per cell]
Mo1 0.000 0.500 0.500 [2 per cell]

Values from the calculation:
**Formation enthalpy at 0 K**: 0.393 eV per atom
**V**: 133.3 Å³/cell
**Excess energy over the best structure of this formula in the dataset**: 6 meV/atom

***

8.
YTl3Fe | GGA-PBEsol | optimized geometry

Unit cell a=5.702 b=5.702 c=5.702 alpha=90.00 beta=90.00 gamma=90.00
Space group Pm-3m (No. 221)
Asymmetric unit:
Y1 0.000 0.000 0.000 [1 per cell]
Tl1 0.000 0.000 0.500 [3 per cell]
Fe1 0.500 0.500 0.500 [1 per cell]

Values from the calculation:
**Formation enthalpy at 0 K**: 1.311 eV per atom
**V**: 185.4 Å³/cell

***

9.
BaTi8O16 | GGA-PBEsol | optimized geometry

Unit cell a=20.046 b=5.892 c=14.209 alpha=90.00 beta=134.37 gamma=90.00
Space group C2/c (No. 15)
Asymmetric unit:
Ba1 0.000 0.126 0.250 [4 per cell]
Ti1 0.089 0.374 0.075 [8 per cell]
Ti2 0.093 0.124 0.589 [8 per cell]
Ti3 0.234 0.376 0.896 [8 per cell]
Ti4 0.244 0.126 0.400 [8 per cell]
O1 0.024 0.119 0.950 [8 per cell]
O2 0.025 0.371 0.452 [8 per cell]
O3 0.143 0.130 0.209 [8 per cell]
O4 0.145 0.381 0.708 [8 per cell]
O5 0.175 0.370 0.405 [8 per cell]
O6 0.177 0.120 0.906 [8 per cell]
O7 0.189 0.120 0.587 [8 per cell]
O8 0.192 0.369 0.092 [8 per cell]

Values from the calculation:
**V**: 1199.8 Å³/cell
**Formation energy (no corrections)**: -3075 meV per atom

***

10.
Ba2SrIr | GGA-PBEsol | optimized geometry

Unit cell a=5.985 b=14.041 c=4.385 alpha=90.00 beta=90.00 gamma=90.00
Space group Cmmm (No. 65)
Asymmetric unit:
Ba1 0.000 0.144 0.000 [4 per cell]
Sr1 0.000 0.500 0.500 [2 per cell]
Ir1 0.000 0.000 0.500 [2 per cell]

Values from the calculation:
**Formation enthalpy at 0 K**: -0.047 eV per atom
**V**: 368.5 Å³/cell
**Excess energy over the best structure of this formula in the dataset**: 0 meV/atom

***

11.
RbSb3Se5 | GGA-PBEsol | optimized geometry

Unit cell a=8.538 b=12.811 c=12.173 alpha=90.00 beta=128.64 gamma=90.00
Space group P2_1/c (No. 14)
Asymmetric unit:
Rb1 0.174 0.250 0.301 [4 per cell]
Sb1 0.228 0.602 0.125 [4 per cell]
Sb2 0.320 0.537 0.823 [4 per cell]
Sb3 0.375 0.566 0.548 [4 per cell]
Se1 0.101 0.517 0.287 [4 per cell]
Se2 0.131 0.644 0.589 [4 per cell]
Se3 0.311 0.091 0.600 [4 per cell]
Se4 0.325 0.690 0.966 [4 per cell]
Se5 0.397 0.125 0.144 [4 per cell]

Values from the calculation:
**V**: 1039.9 Å³/cell
**Formation energy (no corrections)**: -436 meV per atom
**Excess energy over the best structure of this formula in the dataset**: 23 meV/atom

***

12.
MnS | GGA-PBEsol | optimized geometry

Unit cell a=3.9107 b=3.9107 c=12.7106 alpha=90.00 beta=90.00 gamma=120.00
Space group P6_3mc (No. 186)
Asymmetric unit:
Mn1 0.0000 0.0000 0.0000 [2 per cell]
Mn2 0.3333 0.6667 0.2503 [2 per cell]
S1 0.0000 0.0000 0.1885 [2 per cell]
S2 0.3333 0.6667 0.4387 [2 per cell]

Values from the calculation:
**V**: 168.4 Å³/cell
**Formation energy (no corrections)**: -308 meV per atom

***

13.
Fe7O8 | GGA-PBEsol | optimized geometry

Unit cell a=8.363 b=8.363 c=8.363 alpha=90.00 beta=90.00 gamma=90.00
Space group Fm-3m (No. 225)
Asymmetric unit:
Fe1 0.000 0.000 0.000 [4 per cell]
Fe2 0.000 0.250 0.250 [24 per cell]
O1 0.000 0.000 0.232 [24 per cell]
O2 0.250 0.250 0.250 [8 per cell]

Values from the calculation:
**V**: 584.9 Å³/cell
**Formation energy (no corrections)**: -957 meV per atom

***

14.
Sc2PtW | GGA-PBEsol | optimized geometry

Unit cell a=6.496 b=6.496 c=6.496 alpha=90.00 beta=90.00 gamma=90.00
Space group Fm-3m (No. 225)
Asymmetric unit:
Sc1 0.250 0.250 0.250 [8 per cell]
Pt1 0.000 0.000 0.000 [4 per cell]
W1 0.000 0.000 0.500 [4 per cell]

Values from the calculation:
**Formation enthalpy at 0 K**: -0.223 eV per atom
**V**: 274.1 Å³/cell
**Excess energy over the best structure of this formula in the dataset**: 135 meV/atom

***

15.
SbMoP2 | GGA-PBEsol | optimized geometry

Unit cell a=3.102 b=3.102 c=7.281 alpha=90.00 beta=90.00 gamma=90.00
Space group P4mm (No. 99)
Asymmetric unit:
Sb1 0.000 0.000 0.000 [1 per cell]
Mo1 0.500 0.500 0.271 [1 per cell]
P1 0.000 0.000 0.434 [1 per cell]
P2 0.500 0.500 0.610 [1 per cell]

Values from the calculation:
**V**: 70.1 Å³/cell
**Formation energy (no corrections)**: -55 meV per atom

***

16.
LiHoS2 | GGA-PBEsol | optimized geometry

Unit cell a=3.842 b=3.842 c=5.246 alpha=90.00 beta=90.00 gamma=90.00
Space group P4/mmm (No. 123)
Asymmetric unit:
Li1 0.000 0.000 0.000 [1 per cell]
Ho1 0.500 0.500 0.500 [1 per cell]
S1 0.000 0.000 0.500 [1 per cell]
S2 0.500 0.500 0.000 [1 per cell]

Values from the calculation:
**V**: 77.4 Å³/cell
**Formation energy (no corrections)**: -1816 meV per atom

***

17.
Na2LiP2 | GGA-PBEsol | optimized geometry

Unit cell a=4.218 b=4.218 c=11.757 alpha=90.00 beta=90.00 gamma=90.00
Space group I4/mmm (No. 139)
Asymmetric unit:
Na1 0.000 0.500 0.250 [4 per cell]
Li1 0.000 0.000 0.000 [2 per cell]
P1 0.000 0.000 0.410 [4 per cell]

Values from the calculation:
**Formation enthalpy at 0 K**: -0.180 eV per atom
**V**: 209.1 Å³/cell
**Excess energy over the best structure of this formula in the dataset**: 196 meV/atom

***

18.
Y2ZnH | GGA-PBEsol | optimized geometry

Unit cell a=6.784 b=6.784 c=6.784 alpha=90.00 beta=90.00 gamma=90.00
Space group Fm-3m (No. 225)
Asymmetric unit:
Y1 0.250 0.250 0.250 [8 per cell]
Zn1 0.000 0.000 0.000 [4 per cell]
H1 0.000 0.000 0.500 [4 per cell]

Values from the calculation:
**V**: 312.2 Å³/cell
**VASP energy**: -4.65 eV/atom

***

19.
NbClF2 | GGA-PBEsol | optimized geometry

Unit cell a=4.404 b=4.404 c=13.745 alpha=90.00 beta=90.00 gamma=90.00
Space group I4_1/amd (No. 141, origin choice 2)
Asymmetric unit:
Nb1 0.000 0.250 0.375 [4 per cell]
Cl1 0.000 0.250 0.875 [4 per cell]
F1 0.000 0.000 0.500 [8 per cell]

Values from the calculation:
**V**: 266.6 Å³/cell
**Formation energy (no corrections)**: -1537 meV per atom
**Excess energy over the best structure of this formula in the dataset**: 0 meV/atom

***

20.
CuPtCl4 | GGA-PBEsol | optimized geometry

Unit cell a=3.960 b=6.446 c=12.158 alpha=74.75 beta=81.13 gamma=73.08
Space group P-1 (No. 2)
Asymmetric unit:
Cu1 0.009 0.250 0.250 [2 per cell]
Pt1 0.500 0.000 0.500 [1 per cell]
Pt2 0.500 0.500 0.000 [1 per cell]
Cl1 0.160 0.569 0.162 [2 per cell]
Cl2 0.160 0.825 0.901 [2 per cell]
Cl3 0.374 0.675 0.599 [2 per cell]
Cl4 0.379 0.931 0.338 [2 per cell]

Values from the calculation:
**V**: 285.5 Å³/cell
**Formation energy (no corrections)**: -384 meV per atom